# 1
A geometry-optimized MgCoTeO structure. Source: the Open Quantum Materials Database, functional GGA+U. Values from VASP.

```
&SYSTEM
  ibrav = 0, nat = 8, ntyp = 4
/
ATOMIC_SPECIES
Mg 24.30 Mg.upf
Co 58.93 Co.upf
Te 127.60 Te.upf
O 16.00 O.upf
ATOMIC_POSITIONS angstrom
Mg 1.8011 6.0172 3.1018
Mg 1.8011 -6.0172 0.0000
Co 1.8011 2.1178 4.1544
Co 1.8011 -2.1178 1.0525
Te 1.8011 2.1766 1.3963
Te 1.8011 -2.1766 4.4981
O 1.8011 5.3692 1.2911
O 1.8011 -5.3692 4.3930
CELL_PARAMETERS angstrom
1.8011 -6.4115 0.0000
1.8011 6.4115 0.0000
0.0000 0.0000 6.2037
```

Computed properties:
- Volume: 17.91 Å³ per atom
- Space group: Cmc2_1, No. 36

---

# 2
A geometry-optimized MgCoTeO structure. Source: the Open Quantum Materials Database, functional GGA+U. Values from VASP.

```
&SYSTEM
  ibrav = 0, nat = 32, ntyp = 4
/
ATOMIC_SPECIES
Mg 24.30 Mg.upf
Co 58.93 Co.upf
Te 127.60 Te.upf
O 16.00 O.upf
ATOMIC_POSITIONS angstrom
Mg 0.4071 3.3392 0.8357
Mg 0.4071 3.4953 4.1606
Mg 2.6765 10.1737 0.8357
Mg 2.6765 10.3298 4.1606
Mg 3.4907 3.3392 2.4892
Mg 3.4907 3.4953 5.8141
Mg 5.7600 10.1737 2.4892
Mg 5.7600 10.3298 5.8141
Co 1.5161 1.1080 2.8628
Co 1.5161 5.7265 6.1877
Co 1.5674 7.9425 2.8628
Co 1.5674 12.5610 6.1877
Co 4.5997 1.1080 0.4621
Co 4.5997 5.7265 3.7869
Co 4.6510 7.9425 0.4621
Co 4.6510 12.5610 3.7869
Te 0.0011 0.5987 5.0108
Te 0.0011 6.2358 1.6859
Te 6.1660 7.4332 4.9638
Te 6.1660 13.0703 1.6390
Te 3.0846 0.5987 4.9638
Te 3.0846 6.2358 1.6390
Te 3.0825 7.4332 5.0108
Te 3.0825 13.0703 1.6859
O 1.4832 3.1529 2.5079
O 1.4832 3.6815 5.8328
O 1.6004 9.9874 2.5079
O 1.6004 10.5160 5.8328
O 4.5667 3.1529 0.8170
O 4.5667 3.6815 4.1418
O 4.6840 9.9874 0.8170
O 4.6840 10.5160 4.1418
CELL_PARAMETERS angstrom
6.1671 0.0000 0.0000
0.0000 13.6690 0.0000
0.0000 0.0000 6.6498
```

Computed properties:
- Volume: 17.52 Å³ per atom
- Space group: Pbca, No. 61

---

Calculated E above lowest polymorph (meV/atom), listed in the same order as above: 170, 116
Calculated total magnetization (μB per formula unit), listed in the same order as above: 2.89, 1.77